[1]
Material: NbTlIn
Method: DFT, PBE-GGA
State: optimized geometry

Energy in eV for the cell shown: -13.03
Size of the total moment in Bohr magnetons per cell: 1.39
Volume in Å³/cell: 77.5

abc: 4.786 4.786 4.786
angles: 60.00 60.00 60.00
Each line ends with the local moment (μB).
Sites, in units of the cell vectors:
In (0.250, 0.250, 0.250)  0.00
Nb (0.000, 0.000, 0.000)  1.21
Tl (0.750, 0.750, 0.750)  -0.01


[2]
Material: Zr4GaNiN2
Method: DFT, PBE-GGA
State: optimized geometry

Energy in eV for the cell shown: -67.46
Size of the total moment in Bohr magnetons per cell: 0.01
Volume in Å³/cell: 125.0

abc: 3.262 3.262 13.559
angles: 90.00 90.00 120.00
Sites, in units of the cell vectors:
Ga (0.000, 0.000, 0.000)
N (0.333, 0.667, 0.258)
N (0.333, 0.667, 0.742)
Ni (0.667, 0.333, 0.500)
Zr (0.667, 0.333, 0.164)
Zr (0.000, 0.000, 0.355)
Zr (0.000, 0.000, 0.645)
Zr (0.667, 0.333, 0.836)